Record 1
First-principles (PBE with a Hubbard U) data for a relaxed UVCrO6 crystal, as listed in Alexandria via LeMat-Bulk.

Total energy ... -8.63 eV/atom
Crystal system ... trigonal
Total magnetization ... 10.0 μB per cell

Cell: 5.2721 5.2721 8.8418 Å, 90.00 90.00 120.00°
Fractional coordinates of all 18 atoms:
O: 0.9912 0.6650 0.8718
U: 0.3333 0.6667 0.7500
O: 0.0088 0.3350 0.1282
V: 0.3333 0.6667 0.2500
O: 0.3263 0.3350 0.3718
O: 0.3263 0.9912 0.1282
O: 0.6737 0.0088 0.8718
V: 0.6667 0.3333 0.7500
O: 0.6737 0.6650 0.6282
O: 0.6650 0.6737 0.1282
O: 0.0088 0.6737 0.3718
O: 0.3350 0.0088 0.6282
U: 0.6667 0.3333 0.2500
Cr: 0.0000 0.0000 0.5000
O: 0.6650 0.9912 0.3718
O: 0.9912 0.3263 0.6282
Cr: 0.0000 0.0000 0.0000
O: 0.3350 0.3263 0.8718


Record 2
First-principles (PBE with a Hubbard U) data for a relaxed UVCr2O6 crystal, as listed in Alexandria via LeMat-Bulk.

Total energy ... -8.58 eV/atom
Crystal system ... triclinic
Total magnetization ... 11.0 μB per cell

Cell: 5.2936 5.4337 5.7912 Å, 60.74 63.39 61.23°
Fractional coordinates of all 10 atoms:
O: 0.8920 0.6296 0.2477
O: 0.2313 0.8929 0.2487
Cr: 0.5156 0.5114 0.4611
O: 0.1254 0.4089 0.7478
Cr: 0.0247 0.0148 0.9340
O: 0.5967 0.2418 0.2769
V: 0.8193 0.8223 0.5464
O: 0.4305 0.6979 0.7394
O: 0.7148 0.1275 0.7456
U: 0.3113 0.3145 0.0676


Record 3
First-principles (PBE with a Hubbard U) data for a relaxed YUCr2O8 crystal, as listed in Alexandria via LeMat-Bulk.

Total energy ... -8.53 eV/atom
Crystal system ... orthorhombic
Total magnetization ... 5.0 μB per cell

Cell: 4.8115 4.8109 6.5922 Å, 90.00 90.00 88.80°
Fractional coordinates of all 12 atoms:
O: 0.2052 0.7944 0.7660
O: 0.6894 0.6897 0.0000
O: 0.3106 0.3103 0.0000
Cr: 0.5000 0.5000 0.2573
U: 0.0000 0.0000 0.0000
O: 0.3273 0.3269 0.5000
Y: 0.0000 0.0000 0.5000
O: 0.6727 0.6731 0.5000
O: 0.7948 0.2055 0.7660
O: 0.7948 0.2056 0.2340
Cr: 0.5000 0.5000 0.7427
O: 0.2052 0.7945 0.2340


Record 4
First-principles (PBE with a Hubbard U) data for a relaxed YUCrO6 crystal, as listed in Alexandria via LeMat-Bulk.

Total energy ... -9.04 eV/atom
Crystal system ... trigonal
Total magnetization ... 6.0 μB per cell

Cell: 5.3764 5.3764 9.7912 Å, 90.00 90.00 120.00°
Fractional coordinates of all 18 atoms:
O: 0.6537 0.0089 0.8619
U: 0.6667 0.3333 0.2500
O: 0.3463 0.3552 0.3619
O: 0.9911 0.6448 0.8619
Y: 0.0000 0.0000 0.5000
Y: 0.0000 0.0000 0.0000
O: 0.6448 0.9911 0.3619
Cr: 0.3333 0.6667 0.2500
U: 0.3333 0.6667 0.7500
O: 0.9911 0.3463 0.6381
O: 0.3463 0.9911 0.1381
O: 0.6537 0.6448 0.6381
O: 0.0089 0.3552 0.1381
O: 0.3552 0.3463 0.8619
O: 0.3552 0.0089 0.6381
Cr: 0.6667 0.3333 0.7500
O: 0.6448 0.6537 0.1381
O: 0.0089 0.6537 0.3619


Record 5
First-principles (PBE with a Hubbard U) data for a relaxed VCrO3 crystal, as listed in Alexandria via LeMat-Bulk.

Total energy ... -7.98 eV/atom
Crystal system ... triclinic
Total magnetization ... 20.0 μB per cell

Cell: 5.1235 5.4996 7.5116 Å, 95.68 90.01 90.03°
Fractional coordinates of all 20 atoms:
O: 0.1484 0.6547 0.8995
O: 0.6501 0.8499 0.0994
O: 0.3473 0.8505 0.5976
O: 0.8474 0.3469 0.1001
O: 0.3029 0.4990 0.2501
O: 0.1536 0.3500 0.5997
Cr: 0.5003 0.1996 0.1520
V: 0.0007 0.7018 0.1484
Cr: 0.4999 0.8010 0.3490
Cr: 0.4998 0.1990 0.6501
O: 0.6494 0.1490 0.4024
O: 0.8040 0.0002 0.7477
O: 0.1996 0.9993 0.2497
O: 0.3514 0.1529 0.9021
V: 0.9998 0.2990 0.8521
O: 0.6973 0.4995 0.7477
O: 0.8483 0.6527 0.4011
V: 0.0001 0.2976 0.3538
V: 0.5005 0.7978 0.8489
Cr: 0.9993 0.6995 0.6484


Record 6
First-principles (PBE with a Hubbard U) data for a relaxed VCrO4 crystal, as listed in Alexandria via LeMat-Bulk.

Total energy ... -7.64 eV/atom
Crystal system ... orthorhombic
Total magnetization ... 6.0 μB per cell

Cell: 5.7332 5.7332 5.7332 Å, 83.41 65.83 118.41°
Fractional coordinates of all 12 atoms:
O: 0.9671 0.2366 0.7963
O: 0.9742 0.7318 0.7424
O: 0.5258 0.2834 0.7424
V: 0.7500 0.1039 0.1461
Cr: 0.5000 0.5000 0.0000
O: 0.0258 0.2682 0.2576
O: 0.5329 0.2366 0.2304
O: 0.4742 0.7166 0.2576
O: 0.4671 0.7634 0.7696
Cr: 0.0000 0.5000 0.5000
V: 0.2500 0.8961 0.8539
O: 0.0329 0.7634 0.2037


Record 7
First-principles (PBE with a Hubbard U) data for a relaxed VCrO2 crystal, as listed in Alexandria via LeMat-Bulk.

Crystal system ... tetragonal
Energy above the lowest structure with this stoichiometry ... 30 meV/atom
Total magnetization ... 28.0 μB per cell

Cell: 4.3178 4.3178 9.6964 Å, 90.00 90.00 90.00°
Fractional coordinates of all 16 atoms:
O: 0.7500 0.0000 0.3587
V: 0.7500 0.5000 0.3750
O: 0.2500 0.5000 0.3913
O: 0.7500 0.5000 0.6087
V: 0.7500 0.0000 0.1250
Cr: 0.2500 0.0000 0.3750
V: 0.2500 0.0000 0.8750
O: 0.7500 0.0000 0.8913
O: 0.2500 0.0000 0.6413
Cr: 0.2500 0.5000 0.1250
O: 0.2500 0.5000 0.8587
Cr: 0.7500 0.5000 0.8750
V: 0.2500 0.5000 0.6250
Cr: 0.7500 0.0000 0.6250
O: 0.2500 0.0000 0.1087
O: 0.7500 0.5000 0.1413


Record 8
First-principles (PBE with a Hubbard U) data for a relaxed V2Cr2O7 crystal, as listed in Alexandria via LeMat-Bulk.

Total energy ... -7.74 eV/atom
Crystal system ... monoclinic
Total magnetization ... 16.0 μB per cell

Cell: 5.0961 5.2485 9.8798 Å, 90.00 90.00 91.84°
Fractional coordinates of all 22 atoms:
Cr: 0.5666 0.9374 0.1571
O: 0.0000 0.0000 0.5000
Cr: 0.4334 0.5626 0.6571
O: 0.3361 0.6102 0.2032
Cr: 0.5666 0.4374 0.3429
O: 0.0000 0.5000 0.0000
O: 0.8064 0.2229 0.2178
O: 0.1936 0.7771 0.7822
O: 0.3051 0.1139 0.0357
V: 0.1213 0.3347 0.1388
V: 0.8787 0.6653 0.8612
O: 0.6639 0.3898 0.7968
Cr: 0.4334 0.0626 0.8429
O: 0.6949 0.3861 0.5357
V: 0.8787 0.1653 0.6388
O: 0.3051 0.6139 0.4643
O: 0.3361 0.1102 0.2968
O: 0.6639 0.8898 0.7032
O: 0.8064 0.7229 0.2822
O: 0.6949 0.8861 0.9643
V: 0.1213 0.8347 0.3612
O: 0.1936 0.2771 0.7178


Record 9
First-principles (PBE with a Hubbard U) data for a relaxed VCrO3 crystal, as listed in Alexandria via LeMat-Bulk.

Total energy ... -7.87 eV/atom
Crystal system ... triclinic
Total magnetization ... 20.0 μB per cell

Cell: 5.5737 5.0756 8.8546 Å, 77.20 93.73 118.81°
Fractional coordinates of all 20 atoms:
V: 0.2323 0.8476 0.4201
Cr: 0.7392 0.8447 0.9173
V: 0.7688 0.1520 0.5792
O: 0.7550 0.7565 0.7020
O: 0.8589 0.0293 0.1074
V: 0.0759 0.6498 0.7686
O: 0.8464 0.5406 0.3962
O: 0.6646 0.4599 0.1001
Cr: 0.2605 0.1546 0.0811
O: 0.1599 0.4585 0.6064
O: 0.2568 0.7706 0.1986
O: 0.6417 0.9640 0.3899
O: 0.2409 0.2474 0.2968
O: 0.3630 0.0381 0.6076
Cr: 0.4143 0.3404 0.7398
O: 0.1436 0.9692 0.8909
O: 0.3414 0.5395 0.9011
V: 0.5794 0.6559 0.2632
Cr: 0.9175 0.3473 0.2330
O: 0.7400 0.2341 0.8007


Record 10
First-principles (PBE with a Hubbard U) data for a relaxed V3CrO8 crystal, as listed in Alexandria via LeMat-Bulk.

Crystal system ... monoclinic
Energy above the lowest structure with this stoichiometry ... 140 meV/atom
Total magnetization ... 5.0 μB per cell

Cell: 5.8527 5.8527 5.9200 Å, 61.60 61.60 60.47°
Fractional coordinates of all 12 atoms:
O: 0.2660 0.7017 0.7791
V: 0.5000 0.0000 0.0000
O: 0.7279 0.7279 0.7935
O: 0.2983 0.7340 0.2209
O: 0.7380 0.7380 0.2209
O: 0.2620 0.2620 0.7791
O: 0.7340 0.2983 0.2209
O: 0.2721 0.2721 0.2065
O: 0.7017 0.2660 0.7791
V: 0.5000 0.5000 0.0000
V: 0.0000 0.5000 0.0000
Cr: 0.5000 0.5000 0.5000


Record 11
First-principles (PBE with a Hubbard U) data for a relaxed VCrO3 crystal, as listed in Alexandria via LeMat-Bulk.

Total energy ... -7.82 eV/atom
Crystal system ... triclinic
Total magnetization ... 18.0 μB per cell

Cell: 5.0674 5.3684 8.9473 Å, 82.25 102.82 116.11°
Fractional coordinates of all 20 atoms:
O: 0.4654 0.1749 0.7298
O: 0.9319 0.8218 0.8845
O: 0.4501 0.7336 0.9838
O: 0.5484 0.2663 0.0155
Cr: 0.9813 0.0026 0.3288
Cr: 0.5155 0.4902 0.1702
Cr: 0.0198 0.9918 0.6725
O: 0.0804 0.1817 0.1215
O: 0.9534 0.2314 0.4812
V: 0.7258 0.3811 0.5758
O: 0.5292 0.8250 0.2689
Cr: 0.2324 0.9034 0.0756
O: 0.9634 0.6748 0.2270
O: 0.0456 0.7603 0.5193
V: 0.7750 0.1121 0.9265
O: 0.0269 0.3201 0.7698
V: 0.2695 0.6098 0.4215
O: 0.5824 0.6841 0.6213
V: 0.4843 0.5193 0.8263
O: 0.4191 0.3158 0.3802


Record 12
First-principles (PBE with a Hubbard U) data for a relaxed VCrO4 crystal, as listed in Alexandria via LeMat-Bulk.

Total energy ... -7.66 eV/atom
Crystal system ... monoclinic
Total magnetization ... 6.0 μB per cell

Cell: 4.6105 5.4516 5.4514 Å, 114.93 90.00 90.00°
Fractional coordinates of all 12 atoms:
V: 0.5000 0.5000 0.0000
Cr: 0.0000 0.5000 0.5000
Cr: 0.5000 0.0000 0.5000
O: 0.8126 0.1342 0.3315
O: 0.1874 0.8658 0.6685
O: 0.7976 0.6721 0.8588
V: 0.0000 0.0000 0.0000
O: 0.7024 0.1721 0.8588
O: 0.2977 0.8279 0.1412
O: 0.6874 0.6342 0.3315
O: 0.2024 0.3279 0.1412
O: 0.3126 0.3658 0.6685


Record 13
First-principles (PBE with a Hubbard U) data for a relaxed V5CrO12 crystal, as listed in Alexandria via LeMat-Bulk.

Total energy ... -7.70 eV/atom
Crystal system ... monoclinic
Total magnetization ... 7.0 μB per cell

Cell: 6.9537 6.9537 5.5473 Å, 75.19 75.19 82.53°
Fractional coordinates of all 18 atoms:
O: 0.3322 0.3467 0.7460
O: 0.3569 0.9035 0.0336
V: 0.8048 0.6150 0.4649
O: 0.8289 0.9751 0.8795
V: 0.0783 0.9217 0.0000
V: 0.1638 0.3953 0.0701
V: 0.6047 0.8362 0.9299
O: 0.0965 0.6431 0.9664
O: 0.3835 0.3371 0.2297
O: 0.6533 0.6678 0.2540
O: 0.9590 0.8151 0.3933
O: 0.6629 0.6165 0.7703
O: 0.1849 0.0410 0.6067
Cr: 0.9158 0.0842 0.5000
O: 0.9475 0.3827 0.4464
O: 0.6173 0.0525 0.5536
O: 0.0249 0.1711 0.1205
V: 0.3850 0.1952 0.5351


Record 14
First-principles (PBE with a Hubbard U) data for a relaxed VCrO3 crystal, as listed in Alexandria via LeMat-Bulk.

Total energy ... -7.89 eV/atom
Crystal system ... triclinic
Total magnetization ... 5.9 μB per cell

Cell: 6.3207 6.4898 7.7462 Å, 91.21 74.89 131.38°
Fractional coordinates of all 20 atoms:
O: 0.3402 0.9615 0.3233
O: 0.6460 0.0331 0.6772
V: 0.3263 0.2265 0.4133
O: 0.4482 0.4977 0.8323
O: 0.7004 0.4792 0.4919
Cr: 0.8353 0.7416 0.9145
Cr: 0.5035 0.2277 0.7385
V: 0.4852 0.7664 0.2577
O: 0.5651 0.5021 0.1677
Cr: 0.1727 0.2599 0.0886
Cr: 0.9969 0.7178 0.2414
O: 0.1463 0.5317 0.1752
V: 0.6709 0.7724 0.5878
V: 0.9969 0.2897 0.7610
O: 0.0800 0.0210 0.6766
O: 0.9209 0.9778 0.3249
O: 0.3005 0.5193 0.5084
O: 0.8507 0.4672 0.8214
O: 0.8165 0.0308 0.0077
O: 0.1975 0.9766 0.9906


Record 15
First-principles (PBE with a Hubbard U) data for a relaxed V3CrO9 crystal, as listed in Alexandria via LeMat-Bulk.

Total energy ... -7.59 eV/atom
Crystal system ... monoclinic
Total magnetization ... 6.0 μB per cell

Cell: 7.0785 7.9820 9.0613 Å, 73.37 67.01 63.68°
Fractional coordinates of all 26 atoms:
O: 0.0034 0.5016 0.4946
O: 0.2882 0.2974 0.9017
O: 0.3601 0.1988 0.3349
O: 0.9002 0.3022 0.1544
V: 0.0228 0.9363 0.8140
O: 0.1063 0.6988 0.8349
V: 0.7789 0.5649 0.6750
V: 0.4805 0.7503 0.2442
O: 0.7180 0.7044 0.0873
O: 0.7462 0.0498 0.7996
O: 0.6043 0.4491 0.6882
O: 0.2029 0.0135 0.6526
O: 0.0004 0.0016 0.9946
O: 0.1310 0.5135 0.1526
O: 0.4902 0.2044 0.5873
V: 0.2268 0.4363 0.3140
Cr: 0.5018 0.0007 0.4946
O: 0.2584 0.9491 0.1882
O: 0.8743 0.4884 0.8367
O: 0.5127 0.7974 0.4017
O: 0.8006 0.9884 0.3367
V: 0.9811 0.0649 0.1750
Cr: 0.0029 0.5007 0.9946
O: 0.4044 0.5498 0.2996
V: 0.5249 0.2503 0.7442
O: 0.6433 0.8022 0.6544


Record 16
First-principles (PBE with a Hubbard U) data for a relaxed VCrO3 crystal, as listed in Alexandria via LeMat-Bulk.

Total energy ... -7.98 eV/atom
Crystal system ... triclinic
Total magnetization ... 20.0 μB per cell

Cell: 5.1251 5.4987 9.0803 Å, 69.88 106.24 117.68°
Fractional coordinates of all 20 atoms:
O: 0.9720 0.0257 0.2230
O: 0.4253 0.8747 0.3732
V: 0.7214 0.8704 0.5741
O: 0.9324 0.3749 0.8759
O: 0.0746 0.6250 0.1263
O: 0.0244 0.9736 0.7760
O: 0.0260 0.2796 0.4731
Cr: 0.9765 0.6294 0.3247
O: 0.4705 0.5237 0.7240
O: 0.5729 0.1265 0.6254
V: 0.7802 0.6283 0.9260
V: 0.4755 0.1216 0.8253
Cr: 0.5234 0.8732 0.1739
O: 0.4751 0.2253 0.0259
O: 0.9724 0.7207 0.5268
O: 0.5236 0.7744 0.9751
Cr: 0.2270 0.3759 0.0753
Cr: 0.0239 0.3711 0.6755
V: 0.2744 0.1290 0.4246
O: 0.5284 0.4769 0.2758